1.
KNpNbO6 | PBE | relaxed

Geometry as POSCAR:
```
KNpNbO6
1.0
5.572 0.000 0.000
-2.786 4.826 0.000
0.000 0.000 11.730
K Nb O Np
2 2 12 2
Cartesian
0.000 0.000 0.000
0.000 0.000 5.865
0.000 3.217 2.932
2.786 1.609 8.797
1.042 1.868 4.029
-1.689 2.989 4.029
0.647 4.794 4.029
-0.647 4.794 1.836
-1.042 1.868 1.836
2.139 0.032 7.701
3.433 0.032 9.894
3.828 2.957 9.894
1.744 2.957 7.701
1.689 2.989 1.836
4.475 1.837 7.701
1.097 1.837 9.894
2.786 1.609 2.932
0.000 3.217 8.797
```

- M_tot: 1.00 μB/f.u.
- Formation energy from raw total energies: -2581 meV/atom
- Space-group type: P-31c
- Crystal system: trigonal

2.
KNpNb2O8 | PBE | relaxed

Geometry as POSCAR:
```
KNpNb2O8
1.0
5.470 0.841 0.606
0.901 5.461 0.602
0.841 0.841 7.587
O K Nb Np
8 1 2 1
Cartesian
2.707 2.682 4.280
5.018 4.965 1.745
2.261 4.581 2.155
2.609 4.930 6.639
4.603 2.212 2.157
4.505 4.460 4.516
4.951 2.561 6.641
2.194 2.177 7.051
0.421 0.420 3.793
3.401 3.370 5.933
3.811 3.772 2.863
0.000 0.000 0.000
```

- M_tot: 2.00 μB/f.u.
- Formation energy from raw total energies: -2563 meV/atom
- Space-group type: C2/m
- Crystal system: monoclinic

Which of these has the lowest formation energy from raw total energies?
KNpNbO6